Model P:
Material: Pu3Pt
Method: DFT, PBE
State: relaxed

Summary:
- symmetry = I4/mmm, No. 139

Lattice parameters (Å, degrees): 4.0171 4.0171 7.5529 105.42 105.42 90.00
Site moments in Bohr magnetons follow the coordinates.
Element x y z (fractional)
1 Pt 0.0000 0.0000 0.0000  -0.13
2 Pu 0.5000 0.5000 0.0000  5.20
3 Pu 0.1978 0.1978 0.3956  5.57
4 Pu 0.8022 0.8022 0.6044  5.57

Model Q:
Material: Pu3Pt
Method: DFT, PBE
State: relaxed

Summary:
- symmetry = P6_3/mmc, No. 194

Lattice parameters (Å, degrees): 6.4887 6.4887 5.1363 90.00 90.00 60.00
Site moments in Bohr magnetons follow the coordinates.
Element x y z (fractional)
1 Pu 0.3507 0.8246 0.7500  5.52
2 Pu 0.8246 0.8246 0.7500  5.52
3 Pu 0.8246 0.3507 0.7500  5.52
4 Pu 0.6493 0.1754 0.2500  5.52
5 Pu 0.1754 0.1754 0.2500  5.52
6 Pu 0.1753 0.6493 0.2500  5.52
7 Pt 0.6667 0.6667 0.2500  0.06
8 Pt 0.3333 0.3333 0.7500  0.06

Model R:
Material: Pu3Pt
Method: DFT, PBE
State: relaxed

Summary:
- symmetry = Fm-3m, No. 225

Lattice parameters (Å, degrees): 4.8761 4.8761 4.8761 60.00 60.00 60.00
Site moments in Bohr magnetons follow the coordinates.
Element x y z (fractional)
1 Pt 0.5000 0.5000 0.5000  -0.01
2 Pu 0.0000 0.0000 0.0000  -4.41
3 Pu 0.7500 0.7500 0.7500  4.74
4 Pu 0.2500 0.2500 0.2500  4.74

Model S:
Material: Pu3Pt
Method: DFT, PBE
State: relaxed

Summary:
- symmetry = Immm, No. 71

Lattice parameters (Å, degrees): 3.6847 5.1341 5.3019 118.96 110.33 90.00
Site moments in Bohr magnetons follow the coordinates.
Element x y z (fractional)
1 Pt 0.0000 0.9167 0.0000  -0.04
2 Pu 0.2319 0.6486 0.4639  4.62
3 Pu 0.5000 0.4167 0.0000  -4.03
4 Pu 0.7681 0.1847 0.5361  4.62

Of the structures shown above, model S is the most stable.